1.
CuB2Ir4 | PBE-GGA | relaxed

Formation enthalpy at 0 K ... 1.1681 eV/atom
Symmetry ... I4/mmm (139)
Calculated density ... 13.7 Mg/m³
DOS(E_F) ... 1.309 states/eV/atom
Total DFT energy (no corrections) ... -6.388 eV/atom
Size of the total moment ... 0.0 μB/f.u.

Unit cell a=4.4310 b=4.4310 c=6.1262 alpha=68.80 beta=68.80 gamma=90.00
With the nearest neighbours (Å) after each atom.
Fractional coordinates of all 7 atoms:
B (0.4203, 0.4203, 0.1594)  1 B 1.68
B (0.5797, 0.5797, 0.8406)  1 B 1.68
Ir (0.2370, 0.2370, 0.5259)  1 B 1.93
Ir (0.7630, 0.7630, 0.4741)  1 B 1.93
Ir (0.0000, 0.5000, 0.0000)  2 Cu 2.22, 4 B 2.37
Ir (0.5000, 0.0000, 0.0000)  2 Cu 2.22, 4 B 2.37
Cu (0.0000, 0.0000, 0.0000)  4 Ir 2.22



2.
TaTeIN2 | PBE-GGA | relaxed

Symmetry ... P4/mmm (123)
Calculated density ... 7.4 Mg/m³
DOS(E_F) ... 0.450 states/eV/atom
Total DFT energy (no corrections) ... -6.203 eV/atom
Energy above the most stable polymorph in this dataset ... 0.0 meV/atom
Formation energy without anion corrections ... 0.436 eV/atom
Size of the total moment ... 0.9 μB/f.u.

Unit cell a=4.1526 b=4.1526 c=6.0096 alpha=90.00 beta=90.00 gamma=90.00
With the nearest neighbours (Å) after each atom.
Fractional coordinates of all 5 atoms:
I (0.5000, 0.5000, 0.5000)  4 Te 2.94
N (0.0000, 0.5000, 0.0000)  2 Ta 2.08
N (0.5000, 0.0000, 0.0000)  2 Ta 2.08
Te (0.0000, 0.0000, 0.5000)  4 I 2.94, 2 Ta 3.00
Ta (0.0000, 0.0000, 0.0000)  4 N 2.08



3.
U2PaNiN4 | PBE-GGA | relaxed

Symmetry ... Cmcm (63)
Calculated density ... 12.6 Mg/m³
DOS(E_F) ... 1.312 states/eV/atom
Total DFT energy (no corrections) ... -10.018 eV/atom
Formation energy without anion corrections ... -1.124 eV/atom
Size of the total moment ... 4.2 μB/f.u.

Unit cell a=3.3865 b=5.8229 c=11.4377 alpha=90.00 beta=90.00 gamma=106.91
With the nearest neighbours (Å) after each atom.
Fractional coordinates of all 16 atoms:
U (0.3679, 0.7358, 0.5576)  6 N 2.30-2.47
U (0.6321, 0.2642, 0.0576)  6 N 2.30-2.47
U (0.6321, 0.2642, 0.4424)  6 N 2.30-2.47
U (0.3679, 0.7358, 0.9424)  6 N 2.30-2.47
Pa (0.1118, 0.2236, 0.7500)  6 N 2.42-2.53
Pa (0.8882, 0.7764, 0.2500)  6 N 2.42-2.53
Ni (0.8435, 0.6870, 0.7500)  4 N 1.98-2.11
Ni (0.1565, 0.3130, 0.2500)  4 N 1.98-2.11
N (0.2791, 0.5581, 0.1241)  1 Ni 1.98
N (0.7209, 0.4419, 0.6241)  1 Ni 1.98
N (0.7209, 0.4419, 0.8759)  1 Ni 1.98
N (0.2791, 0.5581, 0.3759)  1 Ni 1.98
N (0.0000, 0.0000, 0.5000)  4 U 2.34
N (0.0000, 0.0000, 0.0000)  4 U 2.34
N (0.4564, 0.9129, 0.7500)  2 Ni 2.11
N (0.5436, 0.0871, 0.2500)  2 Ni 2.11



4.
VSb2Os | PBE-GGA | relaxed

Symmetry ... Fm-3m (225)
Calculated density ... 11.4 Mg/m³
DOS(E_F) ... 1.371 states/eV/atom
Total DFT energy (no corrections) ... -6.789 eV/atom
Energy above the most stable polymorph in this dataset ... 0.0 meV/atom
Formation energy without anion corrections ... 0.359 eV/atom
Size of the total moment ... 1.0 μB/f.u.

Unit cell a=4.6435 b=4.6435 c=4.6435 alpha=60.00 beta=60.00 gamma=60.00
With the nearest neighbours (Å) after each atom.
Fractional coordinates of all 4 atoms:
Sb (0.2500, 0.2500, 0.2500)  4 Os 2.84, 4 V 2.84
Sb (0.7500, 0.7500, 0.7500)  4 Os 2.84, 4 V 2.84
Os (0.5000, 0.5000, 0.5000)  8 Sb 2.84
V (0.0000, 0.0000, 0.0000)  8 Sb 2.84



5.
CeHoNiAu | PBE-GGA | relaxed

Formation enthalpy at 0 K ... -0.4663 eV/atom
Symmetry ... F-43m (216)
Calculated density ... 10.5 Mg/m³
DOS(E_F) ... 1.696 states/eV/atom
Total DFT energy (no corrections) ... -5.359 eV/atom
Size of the total moment ... 0.7 μB/f.u.

Unit cell a=5.0093 b=5.0093 c=5.0093 alpha=60.00 beta=60.00 gamma=60.00
With the nearest neighbours (Å) after each atom.
Fractional coordinates of all 4 atoms:
Ni (0.2500, 0.2500, 0.2500)  4 Ho 3.07, 4 Ce 3.07
Au (0.7500, 0.7500, 0.7500)  4 Ce 3.07, 4 Ho 3.07
Ho (0.0000, 0.0000, 0.0000)  4 Au 3.07, 4 Ni 3.07
Ce (0.5000, 0.5000, 0.5000)  4 Ni 3.07, 4 Au 3.07



6.
RbSiAu3 | PBE-GGA | relaxed

Symmetry ... P-1 (2)
Calculated density ... 8.8 Mg/m³
DOS(E_F) ... 0.284 states/eV/atom
Total DFT energy (no corrections) ... -3.519 eV/atom
Energy above the most stable polymorph in this dataset ... 0.0 meV/atom
Formation energy without anion corrections ... -0.275 eV/atom
Size of the total moment ... 0.0 μB/f.u.

Unit cell a=7.4986 b=7.4985 c=6.8591 alpha=92.95 beta=56.88 gamma=119.86
With the nearest neighbours (Å) after each atom.
Fractional coordinates of all 10 atoms:
Si (0.5849, 0.0231, 0.5960)  6 Au 2.40-2.64
Si (0.1569, 0.2626, 0.6906)  6 Au 2.40-2.64
Au (0.6815, 0.1415, 0.8909)  2 Si 2.49-2.64, 2 Au 2.77-2.78
Au (0.4305, 0.1442, 0.3956)  2 Si 2.49-2.64, 2 Au 2.77-2.78
Au (0.0603, 0.1442, 0.3956)  2 Si 2.49-2.64, 2 Au 2.77-2.78
Au (0.3710, 0.6429, 0.6433)  2 Si 2.40
Au (0.8709, 0.1429, 0.1433)  2 Si 2.48, 4 Au 2.77
Au (0.3113, 0.1414, 0.8909)  2 Si 2.49-2.64, 2 Au 2.77-2.78
Rb (0.0387, 0.6359, 0.3018)  8 Au 3.59-3.89, 1 Si 3.83, 1 Rb 3.95
Rb (0.7030, 0.6497, 0.9849)  8 Au 3.59-3.89, 1 Si 3.83, 1 Rb 3.95



7.
YGe2Pb2 | PBE-GGA | relaxed

Formation enthalpy at 0 K ... -0.0459 eV/atom
Symmetry ... I4/mmm (139)
Calculated density ... 7.8 Mg/m³
DOS(E_F) ... 0.470 states/eV/atom
Total DFT energy (no corrections) ... -4.669 eV/atom
Energy above the most stable polymorph in this dataset ... 107.2 meV/atom
Size of the total moment ... 0.0 μB/f.u.

Unit cell a=4.3753 b=4.3753 c=7.8300 alpha=73.78 beta=73.78 gamma=90.00
With the nearest neighbours (Å) after each atom.
Fractional coordinates of all 5 atoms:
Pb (0.7500, 0.2500, 0.5000)  4 Pb 3.09, 4 Ge 3.23
Pb (0.2500, 0.7500, 0.5000)  4 Pb 3.09, 4 Ge 3.23
Y (0.0000, 0.0000, 0.0000)  8 Ge 3.32
Ge (0.4155, 0.4155, 0.1691)  1 Ge 2.43
Ge (0.5845, 0.5845, 0.8309)  1 Ge 2.43



8.
Nd2ScGe3Ir4 | PBE-GGA | relaxed

Formation enthalpy at 0 K ... -0.8323 eV/atom
Symmetry ... P-4m2 (115)
Calculated density ... 11.4 Mg/m³
DOS(E_F) ... 0.502 states/eV/atom
Total DFT energy (no corrections) ... -7.349 eV/atom
Size of the total moment ... 0.0 μB/f.u.

Unit cell a=4.1721 b=4.1721 c=11.0328 alpha=90.00 beta=90.00 gamma=90.00
With the nearest neighbours (Å) after each atom.
Fractional coordinates of all 10 atoms:
Nd (0.5000, 0.0000, 0.2368)  6 Ge 3.20-3.58, 8 Ir 3.21-3.34, 2 Sc 3.58
Nd (0.0000, 0.5000, 0.7632)  6 Ge 3.20-3.58, 8 Ir 3.21-3.34, 2 Sc 3.58
Sc (0.5000, 0.5000, 0.5000)  4 Ir 2.66, 4 Ge 2.95
Ge (0.0000, 0.0000, 0.5000)  4 Ir 2.66, 4 Sc 2.95
Ge (0.5000, 0.0000, 0.8749)  5 Ir 2.49-2.50
Ge (0.0000, 0.5000, 0.1251)  5 Ir 2.49-2.50
Ir (0.5000, 0.5000, 0.0000)  4 Ge 2.50
Ir (0.0000, 0.0000, 0.0000)  4 Ge 2.50
Ir (0.5000, 0.0000, 0.6494)  3 Ge 2.49-2.66, 2 Sc 2.66
Ir (0.0000, 0.5000, 0.3506)  3 Ge 2.49-2.66, 2 Sc 2.66



9.
La4CoPtBr2 | PBE-GGA | relaxed

Symmetry ... P2/m (10)
Calculated density ... 6.7 Mg/m³
DOS(E_F) ... 0.581 states/eV/atom
Total DFT energy (no corrections) ... -5.615 eV/atom
Formation energy without anion corrections ... -1.090 eV/atom
Size of the total moment ... 0.0 μB/f.u.

Unit cell a=4.1633 b=7.3120 c=8.2470 alpha=107.25 beta=90.00 gamma=90.00
With the nearest neighbours (Å) after each atom.
Fractional coordinates of all 8 atoms:
La (0.5000, 0.2455, 0.1957)  1 Co 2.80, 2 Pt 2.91
La (0.5000, 0.7545, 0.8043)  1 Co 2.80, 2 Pt 2.91
La (0.0000, 0.2813, 0.8070)  2 Co 2.81, 1 Pt 2.95
La (0.0000, 0.7187, 0.1930)  2 Co 2.81, 1 Pt 2.95
Co (0.5000, 0.5000, 0.0000)  6 La 2.80-2.81
Pt (0.0000, 0.0000, 0.0000)  6 La 2.91-2.95
Br (0.5000, 0.0000, 0.5000)  6 La 3.45-3.49
Br (0.0000, 0.5000, 0.5000)  6 La 3.37



10.
LiAc6Cd | PBE-GGA | relaxed

Formation enthalpy at 0 K ... -0.0596 eV/atom
Symmetry ... I4/mmm (139)
Calculated density ... 7.8 Mg/m³
DOS(E_F) ... 1.350 states/eV/atom
Total DFT energy (no corrections) ... -3.495 eV/atom
Size of the total moment ... 0.0 μB/f.u.

Unit cell a=5.6690 b=5.6690 c=10.5826 alpha=74.46 beta=74.46 gamma=90.00
With the nearest neighbours (Å) after each atom.
Fractional coordinates of all 8 atoms:
Li (0.0000, 0.0000, 0.0000)  8 Ac 3.53
Ac (0.7501, 0.7501, 0.4998)  12 Ac 3.98-4.01
Ac (0.6073, 0.1073, 0.7854)  2 Li 3.53, 2 Cd 3.53
Ac (0.1073, 0.6073, 0.7854)  2 Cd 3.53, 2 Li 3.53
Ac (0.3927, 0.8927, 0.2146)  2 Li 3.53, 2 Cd 3.53
Ac (0.2499, 0.2499, 0.5002)  12 Ac 3.98-4.01
Ac (0.8927, 0.3927, 0.2146)  2 Cd 3.53, 2 Li 3.53
Cd (0.5000, 0.5000, 0.0000)  8 Ac 3.53



11.
CeTaP2 | PBE-GGA | relaxed

Formation enthalpy at 0 K ... 0.1809 eV/atom
Symmetry ... R-3m (166)
Calculated density ... 6.0 Mg/m³
DOS(E_F) ... 1.308 states/eV/atom
Total DFT energy (no corrections) ... -6.971 eV/atom
Size of the total moment ... 1.0 μB/f.u.

Unit cell a=3.9235 b=3.9235 c=8.2704 alpha=76.28 beta=76.28 gamma=60.00
With the nearest neighbours (Å) after each atom.
Fractional coordinates of all 4 atoms:
P (0.0991, 0.0991, 0.7026)  1 Ta 2.37
P (0.9009, 0.9009, 0.2974)  1 Ta 2.37
Ce (0.5000, 0.5000, 0.5000)  6 P 2.78
Ta (0.0000, 0.0000, 0.0000)  2 P 2.37



12.
BaAsOs | PBE-GGA | relaxed

Formation enthalpy at 0 K ... 0.1011 eV/atom
Symmetry ... I4mm (107)
Calculated density ... 9.8 Mg/m³
DOS(E_F) ... 0.965 states/eV/atom
Total DFT energy (no corrections) ... -5.833 eV/atom
Size of the total moment ... 0.0 μB/f.u.

Unit cell a=6.5868 b=6.5868 c=3.3237 alpha=75.39 beta=75.39 gamma=29.23
With the nearest neighbours (Å) after each atom.
Fractional coordinates of all 3 atoms:
As (0.9567, 0.9567, 0.0433)  4 Os 2.57
Os (0.3722, 0.3721, 0.6278)  4 As 2.57
Ba (0.6712, 0.6712, 0.3288)  4 Ba 3.32, 5 Os 3.41-3.68, 5 As 3.51-3.53



13.
Mn2IrAu | PBE-GGA | relaxed

Formation enthalpy at 0 K ... 0.0874 eV/atom
Symmetry ... I-4m2 (119)
Calculated density ... 13.7 Mg/m³
DOS(E_F) ... 1.048 states/eV/atom
Total DFT energy (no corrections) ... -7.532 eV/atom
Energy above the most stable polymorph in this dataset ... 127.9 meV/atom
Size of the total moment ... 7.8 μB/f.u.

Unit cell a=4.9436 b=4.9436 c=4.9436 alpha=134.41 beta=134.41 gamma=66.45
With the nearest neighbours (Å) after each atom.
Fractional coordinates of all 4 atoms:
Au (0.5000, 0.5000, 0.0000)  8 Mn 2.71-2.82, 4 Ir 2.82
Ir (0.7500, 0.2500, 0.5000)  8 Mn 2.71-2.82, 4 Au 2.82
Mn (0.0000, 0.0000, 0.0000)  4 Au 2.71, 4 Mn 2.82, 4 Ir 2.82
Mn (0.2500, 0.7500, 0.5000)  4 Ir 2.71, 4 Mn 2.82, 4 Au 2.82